(1)
A plane-wave DFT calculation with PBE was carried out for an optimized crystal structure of RbTlPb4.

Results
E above lowest polymorph in meV per atom: 0
Calculated density in g/cm³: 9.154
Formation enthalpy at 0 K in eV per atom: -0.008

Cell lengths 3.626, 10.952, 10.379 Å; angles 90.00, 100.06, 90.00 degrees
Fractional positions:
1 Rb 0.103 0.250 0.205
2 Rb 0.897 0.750 0.795
3 Tl 0.245 0.750 0.489
4 Tl 0.755 0.250 0.511
5 Pb 0.500 0.500 0.000
6 Pb 0.500 0.000 0.000
7 Pb 0.667 0.961 0.335
8 Pb 0.333 0.039 0.665
9 Pb 0.333 0.461 0.665
10 Pb 0.667 0.539 0.335
11 Pb 0.075 0.750 0.150
12 Pb 0.925 0.250 0.850

=====

(2)
A plane-wave DFT calculation with PBE was carried out for an optimized crystal structure of SrCdSe.

Results
E above lowest polymorph in meV per atom: 274
Calculated density in g/cm³: 4.506
Formation energy (no corrections) in eV/atom: -0.8352

Cell lengths 5.258, 5.258, 5.258 Å; angles 60.00, 60.00, 60.00 degrees
Fractional positions:
1 Cd 0.000 0.000 0.000
2 Se 0.500 0.500 0.500
3 Sr 0.750 0.750 0.750

=====

> Which formula does entry 2 have?

SrCdSe

=====

Repeat the second record exactly.
A plane-wave DFT calculation with PBE was carried out for an optimized crystal structure of SrCdSe.

Results
E above lowest polymorph in meV per atom: 274
Calculated density in g/cm³: 4.506
Formation energy (no corrections) in eV/atom: -0.8352

Cell lengths 5.258, 5.258, 5.258 Å; angles 60.00, 60.00, 60.00 degrees
Fractional positions:
1 Cd 0.000 0.000 0.000
2 Se 0.500 0.500 0.500
3 Sr 0.750 0.750 0.750

=====

Copy entry 1 word for word.
A plane-wave DFT calculation with PBE was carried out for an optimized crystal structure of RbTlPb4.

Results
E above lowest polymorph in meV per atom: 0
Calculated density in g/cm³: 9.154
Formation enthalpy at 0 K in eV per atom: -0.008

Cell lengths 3.626, 10.952, 10.379 Å; angles 90.00, 100.06, 90.00 degrees
Fractional positions:
1 Rb 0.103 0.250 0.205
2 Rb 0.897 0.750 0.795
3 Tl 0.245 0.750 0.489
4 Tl 0.755 0.250 0.511
5 Pb 0.500 0.500 0.000
6 Pb 0.500 0.000 0.000
7 Pb 0.667 0.961 0.335
8 Pb 0.333 0.039 0.665
9 Pb 0.333 0.461 0.665
10 Pb 0.667 0.539 0.335
11 Pb 0.075 0.750 0.150
12 Pb 0.925 0.250 0.850